Pr7In3Sn: relaxed, PBE.

CIF file:
```
data_Pr7In3Sn
_cell_length_a 11.612
_cell_length_b 11.959
_cell_length_c 6.055
_cell_angle_alpha 90.00
_cell_angle_beta 121.31
_cell_angle_gamma 90.00
_symmetry_space_group_name_H-M 'C 1 2/m 1'
_symmetry_Int_Tables_number 12
_symmetry_space_group_name_Hall '-C 2y'
loop_
_atom_site_label
_atom_site_type_symbol
_atom_site_fract_x
_atom_site_fract_y
_atom_site_fract_z
_atom_site_occupancy
Pr1 Pr 0.000 0.000 0.000 1
Pr2 Pr 0.165 0.263 0.666 1
Pr3 Pr 0.179 0.500 0.178 1
In1 In 0.000 0.266 0.000 1
In2 In 0.000 0.500 0.500 1
Sn1 Sn 0.000 0.000 0.500 1
```

## Properties
- crystal system = monoclinic
- total magnetic moment (μB/cell) = 0.0
- calculated total energy (eV for the cell shown) = -97.80
- DFT formation energy (eV/f.u.) = -3.2

***

Pr12InSn3: relaxed, PBE.

CIF file:
```
data_Pr12InSn3
_cell_length_a 5.005
_cell_length_b 5.005
_cell_length_c 19.969
_cell_angle_alpha 90.00
_cell_angle_beta 90.00
_cell_angle_gamma 90.00
_symmetry_space_group_name_H-M 'P 4/m m m'
_symmetry_Int_Tables_number 123
_symmetry_space_group_name_Hall '-P 4 2'
loop_
_atom_site_label
_atom_site_type_symbol
_atom_site_fract_x
_atom_site_fract_y
_atom_site_fract_z
_atom_site_occupancy
Pr1 Pr 0.000 0.000 0.000 1
Pr2 Pr 0.000 0.000 0.248 1
Pr3 Pr 0.000 0.000 0.500 1
Pr4 Pr 0.000 0.500 0.124 1
Pr5 Pr 0.000 0.500 0.373 1
In1 In 0.500 0.500 0.500 1
Sn1 Sn 0.500 0.500 0.000 1
Sn2 Sn 0.500 0.500 0.250 1
```

## Properties
- crystal system = tetragonal
- total magnetic moment (μB/cell) = 0.0
- calculated total energy (eV for the cell shown) = -78.69
- DFT formation energy (eV/f.u.) = -6.6

***

Pr2InSn4: relaxed, PBE.

CIF file:
```
data_Pr2InSn4
_cell_length_a 4.550
_cell_length_b 4.550
_cell_length_c 10.004
_cell_angle_alpha 90.00
_cell_angle_beta 90.00
_cell_angle_gamma 90.00
_symmetry_space_group_name_H-M 'P -4 m 2'
_symmetry_Int_Tables_number 115
_symmetry_space_group_name_Hall 'P -4 -2'
loop_
_atom_site_label
_atom_site_type_symbol
_atom_site_fract_x
_atom_site_fract_y
_atom_site_fract_z
_atom_site_occupancy
Pr1 Pr 0.000 0.500 0.246 1
In1 In 0.500 0.500 0.000 1
Sn1 Sn 0.000 0.000 0.500 1
Sn2 Sn 0.000 0.500 0.805 1
Sn3 Sn 0.500 0.500 0.500 1
```

## Properties
- crystal system = tetragonal
- total magnetic moment (μB/cell) = 0.0
- calculated total energy (eV for the cell shown) = -31.33
- DFT formation energy (eV/f.u.) = -3.0

***

PrIn4Sn: relaxed, PBE.

CIF file:
```
data_PrIn4Sn
_cell_length_a 13.832
_cell_length_b 13.832
_cell_length_c 13.832
_cell_angle_alpha 90.00
_cell_angle_beta 90.00
_cell_angle_gamma 90.00
_symmetry_space_group_name_H-M 'F -4 3 m'
_symmetry_Int_Tables_number 216
_symmetry_space_group_name_Hall 'F -4 2 3'
loop_
_atom_site_label
_atom_site_type_symbol
_atom_site_fract_x
_atom_site_fract_y
_atom_site_fract_z
_atom_site_occupancy
Pr1 Pr 0.000 0.000 0.000 1
In1 In 0.132 0.132 0.132 1
Sn1 Sn 0.250 0.250 0.250 1
```

## Properties
- crystal system = cubic
- total magnetic moment (μB/cell) = 12.3
- calculated total energy (eV for the cell shown) = -59.58
- offset from the most stable computed form (kJ/mol of atoms) = 92.4
- DFT formation energy (eV/f.u.) = 4.8

***

Pr5InSn2: relaxed, PBE.

CIF file:
```
data_Pr5InSn2
_cell_length_a 8.417
_cell_length_b 8.417
_cell_length_c 14.633
_cell_angle_alpha 90.00
_cell_angle_beta 90.00
_cell_angle_gamma 90.00
_symmetry_space_group_name_H-M 'I 4/m c m'
_symmetry_Int_Tables_number 140
_symmetry_space_group_name_Hall '-I 4 2c'
loop_
_atom_site_label
_atom_site_type_symbol
_atom_site_fract_x
_atom_site_fract_y
_atom_site_fract_z
_atom_site_occupancy
Pr1 Pr 0.000 0.000 0.000 1
Pr2 Pr 0.170 0.330 0.149 1
In1 In 0.000 0.000 0.250 1
Sn1 Sn 0.130 0.370 0.500 1
```

## Properties
- crystal system = tetragonal
- total magnetic moment (μB/cell) = 0.2
- calculated total energy (eV for the cell shown) = -156.16
- DFT formation energy (eV/f.u.) = -4.4

***

Pr6In5Sn: relaxed, PBE.

CIF file:
```
data_Pr6In5Sn
_cell_length_a 9.497
_cell_length_b 16.667
_cell_length_c 5.538
_cell_angle_alpha 90.00
_cell_angle_beta 125.57
_cell_angle_gamma 90.00
_symmetry_space_group_name_H-M 'C 1 2/m 1'
_symmetry_Int_Tables_number 12
_symmetry_space_group_name_Hall '-C 2y'
loop_
_atom_site_label
_atom_site_type_symbol
_atom_site_fract_x
_atom_site_fract_y
_atom_site_fract_z
_atom_site_occupancy
Pr1 Pr 0.247 0.000 0.247 1
Pr2 Pr 0.248 0.165 0.748 1
In1 In 0.000 0.172 0.000 1
In2 In 0.000 0.334 0.500 1
In3 In 0.000 0.500 0.000 1
Sn1 Sn 0.000 0.000 0.500 1
```

## Properties
- crystal system = monoclinic
- total magnetic moment (μB/cell) = 0.0
- calculated total energy (eV for the cell shown) = -105.21
- offset from the most stable computed form (kJ/mol of atoms) = 0.6
- DFT formation energy (eV/f.u.) = -6.2